Entry 1:
VASP calculation (GGA-PBE) on a geometry-optimized PmBPt2 structure.

Energy above the lowest structure with this stoichiometry, kJ/mol of atoms: 0.00
M_tot, Bohr magnetons per cell: 0.00
Energy relative to the elements, meV per atom: -963

abc: 5.4513 5.4513 8.0273
angles: 90.00 90.00 120.00
Closest atoms and distances in Å follow each position.
Fractional positions:
Pm: 0.5000 0.0000 0.5000  4 B 3.04, 10 Pt 3.09-3.27
Pm: 0.0000 0.5000 0.1667  4 B 3.04, 10 Pt 3.09-3.27
Pm: 0.5000 0.5000 0.8333  4 B 3.04, 10 Pt 3.09-3.27
B: 0.0000 0.5000 0.6667  4 Pt 2.12
B: 0.5000 0.0000 0.0000  4 Pt 2.12
B: 0.5000 0.5000 0.3333  4 Pt 2.12
Pt: 0.6934 0.8467 0.1667  2 B 2.12
Pt: 0.8467 0.6934 0.5000  2 B 2.12
Pt: 0.1533 0.8467 0.8333  2 B 2.12
Pt: 0.1533 0.3066 0.5000  2 B 2.12
Pt: 0.8467 0.1533 0.8333  2 B 2.12
Pt: 0.3066 0.1533 0.1667  2 B 2.12



Entry 2:
VASP calculation (GGA-PBE) on a geometry-optimized CoPbBr structure.

Energy above the lowest structure with this stoichiometry, kJ/mol of atoms: 0.00
M_tot, Bohr magnetons per cell: 1.76
Raw formation energy, meV/atom: 141

abc: 3.5118 3.5118 7.0613
angles: 90.00 90.00 120.00
Closest atoms and distances in Å follow each position.
Fractional positions:
Br: 0.0000 0.0000 0.1073  3 Co 2.44
Co: 0.6667 0.3333 0.2984  3 Br 2.44
Pb: 0.3333 0.6667 0.5943  3 Co 2.91



Entry 3:
VASP calculation (GGA-PBE) on a geometry-optimized CdCuRe2 structure.

M_tot, Bohr magnetons per cell: 0.00
Energy relative to the elements, meV per atom: 473

abc: 5.7433 5.7433 5.7433
angles: 152.32 133.93 54.59
Closest atoms and distances in Å follow each position.
Fractional positions:
Cd: 0.7500 0.2500 0.5000  4 Cu 2.63, 2 Cd 2.75
Cu: 0.2500 0.7500 0.5000  4 Re 2.60, 4 Cd 2.63, 2 Cu 2.75
Re: 0.0332 0.0332 0.0000  2 Cu 2.60, 6 Re 2.72-2.75
Re: 0.4668 0.4668 0.0000  2 Cu 2.60, 6 Re 2.72-2.75



no.,total DFT energy (no corrections) (eV/cell)
1,-82.1
2,-12.1
3,-28.0